No. 1
## FeRe2Rh (GGA-PBE)

Data for a relaxed structure of FeRe2Rh.

ΔE to the lowest computed polymorph, meV per atom: 434
DFT formation energy, eV per atom: 0.43
Fermi-level density of states, states/eV per cell: 26.98
Total moment, μB per atom: 0.420

a b c (Å): 6.0983 6.0983 6.0983
angles (deg): 90.00 90.00 90.00
With the nearest neighbours (Å) after each atom.
Fractional positions:
Fe  0.0000  0.0000  0.0000  8 Re 2.64
Fe  0.0000  0.5000  0.5000  8 Re 2.64
Fe  0.5000  0.0000  0.5000  8 Re 2.64
Fe  0.5000  0.5000  0.0000  8 Re 2.64
Re  0.2500  0.2500  0.2500  4 Fe 2.64, 4 Rh 2.64
Re  0.2500  0.2500  0.7500  4 Rh 2.64, 4 Fe 2.64
Re  0.2500  0.7500  0.2500  4 Rh 2.64, 4 Fe 2.64
Re  0.2500  0.7500  0.7500  4 Fe 2.64, 4 Rh 2.64
Re  0.7500  0.2500  0.2500  4 Rh 2.64, 4 Fe 2.64
Re  0.7500  0.2500  0.7500  4 Fe 2.64, 4 Rh 2.64
Re  0.7500  0.7500  0.2500  4 Fe 2.64, 4 Rh 2.64
Re  0.7500  0.7500  0.7500  4 Rh 2.64, 4 Fe 2.64
Rh  0.0000  0.0000  0.5000  8 Re 2.64
Rh  0.0000  0.5000  0.0000  8 Re 2.64
Rh  0.5000  0.0000  0.0000  8 Re 2.64
Rh  0.5000  0.5000  0.5000  8 Re 2.64

No. 2
## Ce2ThSi (GGA-PBE)

Data for a relaxed structure of Ce2ThSi.

E_form (uncorrected), eV/atom: -0.28
ΔE to the lowest computed polymorph, meV per atom: 79
Fermi-level density of states, states/eV per cell: 9.06
Total moment, μB per atom: 0.157

a b c (Å): 3.8003 3.8003 7.2504
angles (deg): 90.00 90.00 90.00
With the nearest neighbours (Å) after each atom.
Fractional positions:
Ce  0.0000  0.0000  0.1953  1 Ce 2.83, 4 Si 3.04
Ce  0.0000  0.0000  0.8047  1 Ce 2.83, 4 Si 3.04
Th  0.5000  0.5000  0.5000  8 Ce 3.48, 2 Si 3.63, 4 Th 3.80
Si  0.5000  0.5000  0.0000  8 Ce 3.04

No. 3
## LiTiBiH2 (GGA-PBE)

Data for a relaxed structure of LiTiBiH2.

VASP energy, eV/atom: -3.23
Fermi-level density of states, states/eV per cell: 3.27
Total moment, μB per atom: 0.480

a b c (Å): 4.1286 4.1286 5.4554
angles (deg): 90.00 90.00 90.00
With the nearest neighbours (Å) after each atom.
Fractional positions:
Li  0.0000  0.0000  0.0000  2 Bi 2.73, 4 Ti 2.92
Ti  0.5000  0.5000  0.0000  4 Li 2.92
Bi  0.0000  0.0000  0.5000  4 H 2.06
H  0.0000  0.5000  0.5000  2 Bi 2.06
H  0.5000  0.0000  0.5000  2 Bi 2.06

No. 4
## Zn2GaNi6 (GGA-PBE)

Data for a relaxed structure of Zn2GaNi6.

ΔE to the lowest computed polymorph, meV per atom: 0
DFT formation energy, eV per atom: -0.06
Fermi-level density of states, states/eV per cell: 8.15
Total moment, μB per atom: 0.000

a b c (Å): 7.2395 7.2395 2.5601
angles (deg): 99.76 99.76 56.99
With the nearest neighbours (Å) after each atom.
Fractional positions:
Zn  0.1654  0.1654  0.1670  8 Ni 2.47-2.49, 2 Zn 2.56
Zn  0.8346  0.8346  0.8330  8 Ni 2.47-2.49, 2 Zn 2.56
Ga  0.5000  0.5000  0.5000  8 Ni 2.46-2.47, 2 Ga 2.56
Ni  0.1423  0.5234  0.3320  1 Ga 2.47, 3 Zn 2.47-2.49, 7 Ni 2.56-2.63
Ni  0.1965  0.8035  0.0000  2 Ga 2.46, 2 Zn 2.47, 7 Ni 2.56-2.72
Ni  0.4766  0.8577  0.6680  1 Ga 2.47, 3 Zn 2.47-2.49, 7 Ni 2.56-2.63
Ni  0.5234  0.1423  0.3320  1 Ga 2.47, 3 Zn 2.47-2.49, 7 Ni 2.56-2.63
Ni  0.8035  0.1965  0.0000  2 Ga 2.46, 2 Zn 2.47, 7 Ni 2.56-2.72
Ni  0.8577  0.4766  0.6680  1 Ga 2.47, 3 Zn 2.47-2.49, 7 Ni 2.56-2.63

No. 5
## NaAcIr2O8 (GGA-PBE)

Data for a relaxed structure of NaAcIr2O8.

E_form (uncorrected), eV/atom: -1.11
Fermi-level density of states, states/eV per cell: 9.00
Total moment, μB per atom: 0.176

a b c (Å): 6.0730 6.0730 7.2725
angles (deg): 90.00 90.00 120.00
With the nearest neighbours (Å) after each atom.
Fractional positions:
Na  0.0000  0.0000  0.0000  6 O 2.66
Ac  0.0000  0.0000  0.5000  6 O 2.46
Ir  0.3333  0.6667  0.8276  4 O 1.77-1.85
Ir  0.6667  0.3333  0.1724  4 O 1.77-1.85
O  0.1709  0.3418  0.7310  1 Ir 1.85
O  0.1709  0.8291  0.7310  1 Ir 1.85
O  0.3333  0.6667  0.0712  1 Ir 1.77
O  0.3418  0.1709  0.2690  1 Ir 1.85
O  0.6582  0.8291  0.7310  1 Ir 1.85
O  0.6667  0.3333  0.9288  1 Ir 1.77
O  0.8291  0.1709  0.2690  1 Ir 1.85
O  0.8291  0.6582  0.2690  1 Ir 1.85

No. 6
## K2DyThS4 (GGA-PBE)

Data for a relaxed structure of K2DyThS4.

E_form (uncorrected), eV/atom: -1.77
Fermi-level density of states, states/eV per cell: 4.20
Total moment, μB per atom: 0.000

a b c (Å): 7.0714 4.0772 7.7886
angles (deg): 90.00 107.48 90.00
With the nearest neighbours (Å) after each atom.
Fractional positions:
K  0.0000  0.0000  0.0000  6 S 3.18-3.20
K  0.5000  0.5000  0.0000  6 S 3.21-3.23
Dy  0.0000  0.5000  0.5000  6 S 2.80
Th  0.5000  0.0000  0.5000  6 S 2.82-2.84
S  0.2322  0.0000  0.7051  2 Dy 2.80, 1 Th 2.82
S  0.2579  0.5000  0.2893  1 Dy 2.80, 2 Th 2.84
S  0.7421  0.5000  0.7107  1 Dy 2.80, 2 Th 2.84
S  0.7678  0.0000  0.2949  2 Dy 2.80, 1 Th 2.82

No. 7
## Pr2ZnAg (GGA-PBE)

Data for a relaxed structure of Pr2ZnAg.

ΔE to the lowest computed polymorph, meV per atom: 0
DFT formation energy, eV per atom: -0.28
Fermi-level density of states, states/eV per cell: 3.61
Total moment, μB per atom: 0.001

a b c (Å): 3.7831 3.7831 7.3518
angles (deg): 90.00 90.00 90.00
With the nearest neighbours (Å) after each atom.
Fractional positions:
Pr  0.0000  0.0000  0.2422  4 Zn 3.21, 4 Ag 3.28, 1 Pr 3.56
Pr  0.0000  0.0000  0.7578  4 Zn 3.21, 4 Ag 3.28, 1 Pr 3.56
Zn  0.5000  0.5000  0.0000  8 Pr 3.21
Ag  0.5000  0.5000  0.5000  8 Pr 3.28

No. 8
## SrSbW2 (GGA-PBE)

Data for a relaxed structure of SrSbW2.

E_form (uncorrected), eV/atom: 0.35
Fermi-level density of states, states/eV per cell: 3.32
Total moment, μB per atom: 0.000

a b c (Å): 3.3488 3.3488 8.1768
angles (deg): 90.00 90.00 90.00
With the nearest neighbours (Å) after each atom.
Fractional positions:
Sr  0.0000  0.0000  0.0000  4 Sr 3.35, 5 W 3.40-3.68, 4 Sb 3.59
Sb  0.5000  0.5000  0.3294  5 W 2.98-3.05
W  0.0000  0.0000  0.5502  4 W 2.67, 4 Sb 2.98
W  0.5000  0.5000  0.7020  4 W 2.67

No. 9
## CsScSb2I (GGA-PBE)

Data for a relaxed structure of CsScSb2I.

E_form (uncorrected), eV/atom: -0.51
ΔE to the lowest computed polymorph, meV per atom: 0
Fermi-level density of states, states/eV per cell: 6.03
Total moment, μB per atom: 0.000

a b c (Å): 5.5784 5.5784 6.3438
angles (deg): 90.00 90.00 90.00
With the nearest neighbours (Å) after each atom.
Fractional positions:
Cs  0.0000  0.0000  0.0000  4 I 3.94, 8 Sb 4.22
Sc  0.5000  0.5000  0.5000  4 Sb 2.79
Sb  0.0000  0.5000  0.5000  2 Sc 2.79
Sb  0.5000  0.0000  0.5000  2 Sc 2.79
I  0.5000  0.5000  0.0000  2 Sc 3.17

No. 10
## CrNi2W (GGA-PBE)

Data for a relaxed structure of CrNi2W.

ΔE to the lowest computed polymorph, meV per atom: 71
DFT formation energy, eV per atom: 0.10
Fermi-level density of states, states/eV per cell: 8.56
Total moment, μB per atom: 0.000

a b c (Å): 8.4519 2.5710 4.6321
angles (deg): 90.00 98.06 90.00
With the nearest neighbours (Å) after each atom.
Fractional positions:
Cr  0.0000  0.0000  0.0000  7 Ni 2.51-2.79, 2 Cr 2.57, 3 W 2.60-2.72
Cr  0.5000  0.5000  0.0000  7 Ni 2.51-2.79, 2 Cr 2.57, 3 W 2.60-2.72
Ni  0.0085  0.5000  0.5362  4 Cr 2.51-2.79, 3 W 2.53-2.60, 5 Ni 2.55-2.59
Ni  0.2574  0.0000  0.7851  3 Cr 2.51-2.52, 5 Ni 2.55-2.59, 4 W 2.62-2.67
Ni  0.5085  0.0000  0.5362  4 Cr 2.51-2.79, 3 W 2.53-2.60, 5 Ni 2.55-2.59
Ni  0.7574  0.5000  0.7851  3 Cr 2.51-2.52, 5 Ni 2.55-2.59, 4 W 2.62-2.67
W  0.2583  0.5000  0.2915  7 Ni 2.53-2.67, 2 W 2.57, 3 Cr 2.60-2.72
W  0.7583  0.0000  0.2915  7 Ni 2.53-2.67, 2 W 2.57, 3 Cr 2.60-2.72

Look up the total moment of the ninth one. 0.000 μB per atom